1.
Entry from Alexandria: CdGePCl2 after structural relaxation (GGA-PBE).

Calculated values
Formation energy from raw total energies: 302 meV/atom
Mass density: 3.60 g/cm3
Raw total energy: -13.1 eV/cell

Cell lengths 4.993, 4.993, 5.311 Å; angles 90.00, 90.00, 90.00 degrees
Fractional positions:
1 P 0.000 0.000 0.500
2 Ge 0.500 0.500 0.500
3 Cl 0.000 0.500 0.000
4 Cl 0.500 0.000 0.000
5 Cd 0.000 0.000 0.000

***

2.
Entry from Alexandria: Pr2Tm13 after structural relaxation (GGA-PBE).

Calculated values
ΔE_f: 73 kJ/mol of formula units
Mass density: 8.87 g/cm3
Raw total energy: -66.9 eV/cell

Cell lengths 6.527, 8.653, 8.914 Å; angles 110.90, 84.28, 99.19 degrees
Fractional positions:
1 Pr 0.802 0.807 0.604
2 Pr 0.198 0.193 0.396
3 Tm 0.762 0.576 0.024
4 Tm 0.238 0.424 0.976
5 Tm 0.000 0.000 0.000
6 Tm 0.336 0.003 0.670
7 Tm 0.664 0.997 0.330
8 Tm 0.096 0.574 0.694
9 Tm 0.904 0.426 0.306
10 Tm 0.430 0.577 0.358
11 Tm 0.570 0.423 0.642
12 Tm 0.465 0.803 0.935
13 Tm 0.535 0.197 0.065
14 Tm 0.862 0.199 0.737
15 Tm 0.138 0.801 0.263

***

3.
Entry from Alexandria: CsAl3As3 after structural relaxation (GGA-PBE).

Calculated values
ΔE_f: -277 kJ/mol of formula units
Mass density: 3.53 g/cm3
Raw total energy: -57.8 eV/cell

Cell lengths 7.348, 7.348, 9.787 Å; angles 67.95, 67.95, 60.00 degrees
Fractional positions:
1 Cs 0.667 0.667 0.000
2 Cs 0.333 0.333 0.000
3 Al 0.203 0.534 0.395
4 Al 0.868 0.203 0.395
5 Al 0.534 0.868 0.395
6 Al 0.466 0.132 0.605
7 Al 0.132 0.797 0.605
8 Al 0.797 0.466 0.605
9 As 0.436 0.774 0.685
10 As 0.774 0.105 0.685
11 As 0.105 0.436 0.685
12 As 0.895 0.564 0.315
13 As 0.226 0.895 0.315
14 As 0.564 0.226 0.315

***

4.
Entry from Alexandria: TiTlO2 after structural relaxation (GGA-PBE).

Calculated values
Formation energy from raw total energies: -731 meV/atom
Mass density: 9.17 g/cm3
Raw total energy: -23.1 eV/cell

Cell lengths 4.175, 4.175, 4.175 Å; angles 60.00, 60.00, 60.00 degrees
Fractional positions:
1 Tl 0.500 0.500 0.500
2 O 0.250 0.250 0.250
3 O 0.750 0.750 0.750
4 Ti 0.000 0.000 0.000

***

5.
Entry from Alexandria: HoTmIn after structural relaxation (GGA-PBE).

Calculated values
ΔE_f: -71 kJ/mol of formula units
Mass density: 9.12 g/cm3
Raw total energy: -12.5 eV/cell

Cell lengths 5.873, 5.873, 4.518 Å; angles 67.37, 67.37, 34.94 degrees
Fractional positions:
1 Ho 0.224 0.814 0.577
2 Tm 0.540 0.130 0.261
3 In 0.884 0.473 0.917

***

6.
Entry from Alexandria: RbBa3Zr after structural relaxation (GGA-PBE).

Calculated values
ΔE_f: 277 kJ/mol of formula units
Mass density: 3.34 g/cm3
Raw total energy: -12.4 eV/cell

Cell lengths 6.643, 6.643, 6.643 Å; angles 90.00, 90.00, 90.00 degrees
Fractional positions:
1 Rb 0.500 0.500 0.500
2 Ba 0.000 0.500 0.000
3 Ba 0.000 0.000 0.500
4 Ba 0.500 0.000 0.000
5 Zr 0.000 0.000 0.000